Entry i
Compound: Pa2AlGa
Source: the Alexandria database
Functional: PBE
Structure: relaxed

Properties
The value obtained for the volume is 85.2 Å³ per cell. The size of the total moment is 0.000 μB/atom.

Structure (CIF):
```
data_Pa2AlGa
_chemical_formula_sum 'Pa2 Al1 Ga1'
_cell_length_a 4.3818
_cell_length_b 4.3818
_cell_length_c 4.4389
_cell_angle_alpha 90.00
_cell_angle_beta 90.00
_cell_angle_gamma 90.00
_symmetry_space_group_name_H-M 'P 4/m m m'
_symmetry_Int_Tables_number 123
_symmetry_space_group_name_Hall '-P 4 2'
loop_
_atom_site_label
_atom_site_fract_x
_atom_site_fract_y
_atom_site_fract_z
_atom_site_occupancy
Pa1 0.0000 0.5000 0.0000 1
Al1 0.0000 0.0000 0.5000 1
Ga1 0.5000 0.5000 0.5000 1
```



Entry ii
Compound: Pa2AlGa
Source: the Alexandria database
Functional: PBE
Structure: relaxed

Properties
The value obtained for the volume is 360.8 Å³ per cell. The size of the total moment is 0.431 μB/atom.

Structure (CIF):
```
data_Pa2AlGa
_chemical_formula_sum 'Pa8 Al4 Ga4'
_cell_length_a 7.1190
_cell_length_b 7.1190
_cell_length_c 7.1190
_cell_angle_alpha 90.00
_cell_angle_beta 90.00
_cell_angle_gamma 90.00
_symmetry_space_group_name_H-M 'F m -3 m'
_symmetry_Int_Tables_number 225
_symmetry_space_group_name_Hall '-F 4 2 3'
loop_
_atom_site_label
_atom_site_fract_x
_atom_site_fract_y
_atom_site_fract_z
_atom_site_occupancy
Pa1 0.2500 0.2500 0.2500 1
Al1 0.0000 0.0000 0.0000 1
Ga1 0.0000 0.0000 0.5000 1
```



Consider the structures shown above. The most stable of them is entry i.